# Zn6IrPd2

A geometry-optimized Zn6IrPd2 structure (PBE, Alexandria via LeMat-Bulk).

Lattice parameters (Å, degrees): 7.260 7.260 4.233 106.43 106.43 48.13
Element x y z (fractional)
Zn 0.085 0.587 0.336
Zn 0.243 0.757 0.000
Zn 0.413 0.915 0.664
Zn 0.587 0.085 0.336
Zn 0.757 0.243 0.000
Zn 0.915 0.413 0.664
Ir 0.000 0.000 0.500
Pd 0.333 0.333 0.833
Pd 0.667 0.667 0.167

Computed properties:
E_form in eV per atom: -0.159
Theoretical density in g/cm3: 8.38

# Zn8Ir2Pd

A geometry-optimized Zn8Ir2Pd structure (PBE, Alexandria via LeMat-Bulk).

Lattice parameters (Å, degrees): 6.470 6.470 4.192 90.00 90.00 104.92
Element x y z (fractional)
Zn 0.032 0.303 0.500
Zn 0.246 0.754 0.000
Zn 0.303 0.032 0.500
Zn 0.331 0.331 0.000
Zn 0.669 0.669 0.000
Zn 0.697 0.968 0.500
Zn 0.754 0.246 0.000
Zn 0.968 0.697 0.500
Ir 0.375 0.625 0.500
Ir 0.625 0.375 0.500
Pd 0.000 0.000 0.000

Computed properties:
E_form in eV per atom: -0.191
Theoretical density in g/cm3: 9.93

# ZnIr3Pd

A geometry-optimized ZnIr3Pd structure (PBE, Alexandria via LeMat-Bulk).

Lattice parameters (Å, degrees): 4.505 4.505 4.505 90.00 90.00 90.00
Element x y z (fractional)
Zn 0.000 0.000 0.000
Ir 0.000 0.000 0.500
Ir 0.000 0.500 0.000
Ir 0.500 0.000 0.000
Pd 0.500 0.500 0.500

Computed properties:
E_form in eV per atom: 1.630
Theoretical density in g/cm3: 13.59

# Zn2Ir2Pd

A geometry-optimized Zn2Ir2Pd structure (PBE, Alexandria via LeMat-Bulk).

Lattice parameters (Å, degrees): 7.232 7.232 2.901 90.00 90.00 90.00
Element x y z (fractional)
Zn 0.172 0.328 0.000
Zn 0.328 0.828 0.000
Zn 0.672 0.172 0.000
Zn 0.828 0.672 0.000
Ir 0.126 0.626 0.500
Ir 0.374 0.126 0.500
Ir 0.626 0.874 0.500
Ir 0.874 0.374 0.500
Pd 0.000 0.000 0.500
Pd 0.500 0.500 0.500

Computed properties:
E_form in eV per atom: 0.052
Theoretical density in g/cm3: 13.61

# ZnIr2Pd2

A geometry-optimized ZnIr2Pd2 structure (PBE, Alexandria via LeMat-Bulk).

Lattice parameters (Å, degrees): 6.490 6.490 3.827 90.00 90.00 90.00
Element x y z (fractional)
Zn 0.000 0.000 0.000
Zn 0.500 0.500 0.000
Ir 0.135 0.365 0.000
Ir 0.365 0.865 0.000
Ir 0.635 0.135 0.000
Ir 0.865 0.635 0.000
Pd 0.164 0.664 0.500
Pd 0.336 0.164 0.500
Pd 0.664 0.836 0.500
Pd 0.836 0.336 0.500

Computed properties:
E_form in eV per atom: 0.268
Theoretical density in g/cm3: 13.65

# Zn6IrPd

A geometry-optimized Zn6IrPd structure (PBE, Alexandria via LeMat-Bulk).

Lattice parameters (Å, degrees): 6.688 6.688 10.862 90.00 90.00 109.45
Element x y z (fractional)
Zn 0.000 0.000 0.000
Zn 0.000 0.000 0.500
Zn 0.116 0.369 0.124
Zn 0.116 0.369 0.876
Zn 0.121 0.369 0.374
Zn 0.121 0.369 0.626
Zn 0.250 0.750 0.249
Zn 0.250 0.750 0.751
Zn 0.369 0.116 0.124
Zn 0.369 0.116 0.876
Zn 0.369 0.121 0.374
Zn 0.369 0.121 0.626
Zn 0.500 0.500 0.000
Zn 0.500 0.500 0.500
Zn 0.631 0.879 0.374
Zn 0.631 0.879 0.626
Zn 0.631 0.884 0.124
Zn 0.631 0.884 0.876
Zn 0.750 0.250 0.249
Zn 0.750 0.250 0.751
Zn 0.879 0.631 0.374
Zn 0.879 0.631 0.626
Zn 0.884 0.631 0.124
Zn 0.884 0.631 0.876
Ir 0.000 0.000 0.250
Ir 0.000 0.000 0.750
Ir 0.263 0.737 0.000
Ir 0.737 0.263 0.000
Pd 0.258 0.742 0.500
Pd 0.500 0.500 0.249
Pd 0.500 0.500 0.751
Pd 0.742 0.258 0.500

Computed properties:
E_form in eV per atom: -0.261
Theoretical density in g/cm3: 10.02

# Zn4IrPd2

A geometry-optimized Zn4IrPd2 structure (PBE, Alexandria via LeMat-Bulk).

Lattice parameters (Å, degrees): 5.868 5.868 6.407 90.00 90.00 90.00
Element x y z (fractional)
Zn 0.250 0.250 0.250
Zn 0.250 0.250 0.750
Zn 0.250 0.750 0.250
Zn 0.250 0.750 0.750
Zn 0.750 0.250 0.250
Zn 0.750 0.250 0.750
Zn 0.750 0.750 0.250
Zn 0.750 0.750 0.750
Ir 0.000 0.000 0.000
Ir 0.500 0.500 0.500
Pd 0.000 0.500 0.000
Pd 0.000 0.500 0.500
Pd 0.500 0.000 0.000
Pd 0.500 0.000 0.500

Computed properties:
E_form in eV per atom: -0.387
Theoretical density in g/cm3: 10.04

# Zn6IrPd

A geometry-optimized Zn6IrPd structure (PBE, Alexandria via LeMat-Bulk).

Lattice parameters (Å, degrees): 6.544 6.143 4.707 72.84 63.76 43.41
Element x y z (fractional)
Zn 0.121 0.121 0.379
Zn 0.246 0.246 0.754
Zn 0.379 0.379 0.121
Zn 0.621 0.621 0.879
Zn 0.754 0.754 0.246
Zn 0.879 0.879 0.621
Ir 0.000 0.000 0.000
Pd 0.500 0.500 0.500

Computed properties:
E_form in eV per atom: -0.208
Theoretical density in g/cm3: 9.85

# Zn2IrPd

A geometry-optimized Zn2IrPd structure (PBE, Alexandria via LeMat-Bulk).

Lattice parameters (Å, degrees): 3.845 3.845 17.508 90.00 90.00 90.00
Element x y z (fractional)
Zn 0.239 0.250 0.125
Zn 0.250 0.739 0.375
Zn 0.250 0.761 0.875
Zn 0.261 0.250 0.625
Zn 0.739 0.750 0.625
Zn 0.750 0.239 0.875
Zn 0.750 0.261 0.375
Zn 0.761 0.750 0.125
Ir 0.000 0.000 0.000
Ir 0.000 0.500 0.250
Ir 0.500 0.000 0.750
Ir 0.500 0.500 0.500
Pd 0.000 0.000 0.500
Pd 0.000 0.500 0.750
Pd 0.500 0.000 0.250
Pd 0.500 0.500 0.000

Computed properties:
E_form in eV per atom: 0.151
Theoretical density in g/cm3: 11.02

# Zn2IrPd

A geometry-optimized Zn2IrPd structure (PBE, Alexandria via LeMat-Bulk).

Lattice parameters (Å, degrees): 4.288 4.288 3.075 90.00 90.00 90.00
Element x y z (fractional)
Zn 0.000 0.500 0.000
Zn 0.500 0.000 0.000
Ir 0.000 0.000 0.500
Pd 0.500 0.500 0.500

Computed properties:
E_form in eV per atom: -0.380
Theoretical density in g/cm3: 12.61

# Zn2IrPd

A geometry-optimized Zn2IrPd structure (PBE, Alexandria via LeMat-Bulk).

Lattice parameters (Å, degrees): 2.831 2.831 25.093 90.00 90.00 120.00
Element x y z (fractional)
Zn 0.000 0.000 0.250
Zn 0.000 0.000 0.750
Zn 0.333 0.667 0.417
Zn 0.333 0.667 0.917
Zn 0.667 0.333 0.083
Zn 0.667 0.333 0.583
Ir 0.000 0.000 0.000
Ir 0.333 0.667 0.667
Ir 0.667 0.333 0.333
Pd 0.000 0.000 0.500
Pd 0.333 0.667 0.167
Pd 0.667 0.333 0.833

Computed properties:
E_form in eV per atom: -0.277
Theoretical density in g/cm3: 12.28

# ZnIrPd2

A geometry-optimized ZnIrPd2 structure (PBE, Alexandria via LeMat-Bulk).

Lattice parameters (Å, degrees): 2.777 2.777 7.587 90.00 90.00 90.00
Element x y z (fractional)
Zn 0.000 0.000 0.000
Ir 0.000 0.000 0.500
Pd 0.500 0.500 0.241
Pd 0.500 0.500 0.759

Computed properties:
E_form in eV per atom: -0.143
Theoretical density in g/cm3: 13.35

# Zn4IrPd

A geometry-optimized Zn4IrPd structure (PBE, Alexandria via LeMat-Bulk).

Lattice parameters (Å, degrees): 8.963 2.890 7.280 90.00 113.77 90.00
Element x y z (fractional)
Zn 0.164 0.000 0.327
Zn 0.164 0.000 0.835
Zn 0.336 0.500 0.165
Zn 0.336 0.500 0.673
Zn 0.664 0.500 0.327
Zn 0.664 0.500 0.835
Zn 0.836 0.000 0.165
Zn 0.836 0.000 0.673
Ir 0.000 0.500 0.000
Ir 0.500 0.000 0.000
Pd 0.000 0.500 0.500
Pd 0.500 0.000 0.500

Computed properties:
E_form in eV per atom: -0.280
Theoretical density in g/cm3: 10.78

# Zn4IrPd

A geometry-optimized Zn4IrPd structure (PBE, Alexandria via LeMat-Bulk).

Lattice parameters (Å, degrees): 4.218 4.218 5.900 90.00 90.00 90.00
Element x y z (fractional)
Zn 0.000 0.500 0.243
Zn 0.000 0.500 0.757
Zn 0.500 0.000 0.243
Zn 0.500 0.000 0.757
Ir 0.000 0.000 0.000
Pd 0.500 0.500 0.500

Computed properties:
E_form in eV per atom: -0.113
Theoretical density in g/cm3: 8.86

# ZrZnIrPd

A geometry-optimized ZrZnIrPd structure (PBE, Alexandria via LeMat-Bulk).

Lattice parameters (Å, degrees): 4.203 4.203 7.365 90.00 90.00 90.00
Element x y z (fractional)
Zr 0.000 0.000 0.000
Zr 0.500 0.500 0.500
Zn 0.000 0.000 0.500
Zn 0.500 0.500 0.000
Ir 0.000 0.500 0.250
Ir 0.500 0.000 0.750
Pd 0.000 0.500 0.750
Pd 0.500 0.000 0.250

Computed properties:
E_form in eV per atom: -0.663
Theoretical density in g/cm3: 11.62

# ZrIrPd2

A geometry-optimized ZrIrPd2 structure (PBE, Alexandria via LeMat-Bulk).

Lattice parameters (Å, degrees): 3.871 3.871 19.012 90.00 90.00 90.00
Element x y z (fractional)
Zr 0.000 0.000 0.000
Zr 0.000 0.500 0.250
Zr 0.500 0.000 0.750
Zr 0.500 0.500 0.500
Ir 0.000 0.000 0.500
Ir 0.000 0.500 0.750
Ir 0.500 0.000 0.250
Ir 0.500 0.500 0.000
Pd 0.241 0.250 0.625
Pd 0.250 0.741 0.875
Pd 0.250 0.759 0.375
Pd 0.259 0.250 0.125
Pd 0.741 0.750 0.125
Pd 0.750 0.241 0.375
Pd 0.750 0.259 0.875
Pd 0.759 0.750 0.625

Computed properties:
E_form in eV per atom: -0.280
Theoretical density in g/cm3: 11.57

# ZrIrPd2

A geometry-optimized ZrIrPd2 structure (PBE, Alexandria via LeMat-Bulk).

Lattice parameters (Å, degrees): 3.978 3.978 4.096 90.00 90.00 90.00
Element x y z (fractional)
Zr 0.000 0.000 0.000
Ir 0.500 0.500 0.000
Pd 0.000 0.500 0.500
Pd 0.500 0.000 0.500

Computed properties:
E_form in eV per atom: -0.702
Theoretical density in g/cm3: 12.72

# ZrIr2Pd2

A geometry-optimized ZrIr2Pd2 structure (PBE, Alexandria via LeMat-Bulk).

Lattice parameters (Å, degrees): 3.746 3.746 12.521 90.00 90.00 90.00
Element x y z (fractional)
Zr 0.000 0.000 0.000
Zr 0.500 0.500 0.500
Ir 0.000 0.000 0.404
Ir 0.000 0.000 0.596
Ir 0.500 0.500 0.096
Ir 0.500 0.500 0.904
Pd 0.000 0.500 0.250
Pd 0.000 0.500 0.750
Pd 0.500 0.000 0.250
Pd 0.500 0.000 0.750

Computed properties:
E_form in eV per atom: -0.180
Theoretical density in g/cm3: 13.01

# Zr5IrPd2

A geometry-optimized Zr5IrPd2 structure (PBE, Alexandria via LeMat-Bulk).

Lattice parameters (Å, degrees): 6.482 11.072 4.560 90.00 90.00 90.00
Element x y z (fractional)
Zr 0.000 0.000 0.000
Zr 0.144 0.281 0.000
Zr 0.189 0.583 0.500
Zr 0.311 0.083 0.500
Zr 0.356 0.781 0.000
Zr 0.500 0.500 0.000
Zr 0.644 0.219 0.000
Zr 0.689 0.917 0.500
Zr 0.811 0.417 0.500
Zr 0.856 0.719 0.000
Ir 0.000 0.500 0.000
Ir 0.500 0.000 0.000
Pd 0.090 0.832 0.500
Pd 0.410 0.332 0.500
Pd 0.590 0.668 0.500
Pd 0.910 0.168 0.500

Computed properties:
E_form in eV per atom: -0.491
Theoretical density in g/cm3: 8.74

# Zr3IrPd

A geometry-optimized Zr3IrPd structure (PBE, Alexandria via LeMat-Bulk).

Lattice parameters (Å, degrees): 5.028 5.028 5.028 90.00 90.00 90.00
Element x y z (fractional)
Zr 0.000 0.000 0.500
Zr 0.000 0.500 0.000
Zr 0.500 0.000 0.000
Ir 0.000 0.000 0.000
Pd 0.500 0.500 0.500

Computed properties:
E_form in eV per atom: 0.230
Theoretical density in g/cm3: 7.48